1.
Er12Al2Cd5: optimized geometry, GGA-PBE.

Cell and atoms, written as POSCAR:
```
Er12Al2Cd5
1.0
-0.485 10.207 1.586
0.451 -6.050 5.359
7.934 0.139 1.529
Er Cd Al
12 5 2
direct
0.634 0.657 0.807 Er
0.580 0.160 0.289 Er
0.156 0.791 0.383 Er
0.366 0.343 0.193 Er
0.366 0.209 0.617 Er
0.977 0.343 0.193 Er
0.634 0.791 0.383 Er
0.420 0.840 0.711 Er
0.872 0.744 0.135 Er
0.128 0.256 0.865 Er
0.023 0.657 0.807 Er
0.844 0.209 0.617 Er
0.756 0.513 0.521 Cd
0.635 0.270 0.897 Cd
0.000 0.000 0.500 Cd
0.244 0.487 0.479 Cd
0.365 0.730 0.103 Cd
0.725 0.000 0.000 Al
0.275 0.000 0.000 Al
```

Calculated values
E_form, meV/atom: -149
Total magnetic moment, Bohr magnetons per cell: 0.0
SG: C2/m, No. 12

***

2.
Li4AgPd: optimized geometry, GGA-PBE.

Cell and atoms, written as POSCAR:
```
Li4AgPd
1.0
4.378 -0.021 -0.023
-2.175 3.792 -0.203
0.030 0.297 5.475
Li Ag Pd
4 1 1
direct
0.337 0.167 0.259 Li
0.670 0.832 0.738 Li
0.671 0.833 0.261 Li
0.337 0.166 0.735 Li
0.004 0.499 0.998 Ag
0.004 0.499 0.498 Pd
```

Calculated values
E_form, meV/atom: -276
Total magnetic moment, Bohr magnetons per cell: 0.0
SG: C2/m, No. 12